Entry 1:
# PmEr2Zn2Ge2, relaxed, DFT PBE
# * E_form: -0.445 eV per atom
# * energy: -4.11 eV per atom
data_PmEr2Zn2Ge2
_chemical_formula_sum 'Pm1 Er2 Zn2 Ge2'
_space_group_name_H-M_alt 'P 1'
_space_group_IT_number 1
_cell_length_a 4.141
_cell_length_b 4.141
_cell_length_c 11.358
_cell_angle_alpha 79.50
_cell_angle_beta 79.50
_cell_angle_gamma 60.00
loop_
_space_group_symop_operation_xyz
'x,y,z'
loop_
_atom_site_label
_atom_site_fract_x
_atom_site_fract_y
_atom_site_fract_z
Pm1 0.000 0.000 0.000
Er1 0.124 0.124 0.627
Er2 0.876 0.876 0.373
Zn1 0.608 0.608 0.177
Zn2 0.392 0.392 0.823
Ge1 0.737 0.737 0.790
Ge2 0.263 0.263 0.210

Entry 2:
# PmErZnGe, relaxed, DFT PBE
# * ΔE to the lowest computed polymorph: 81 meV per atom
# * E_form: -0.518 eV per atom
# * energy: -4.32 eV per atom
data_PmErZnGe
_chemical_formula_sum 'Pm1 Er1 Zn1 Ge1'
_space_group_name_H-M_alt 'P 1'
_space_group_IT_number 1
_cell_length_a 5.066
_cell_length_b 5.066
_cell_length_c 5.066
_cell_angle_alpha 60.00
_cell_angle_beta 60.00
_cell_angle_gamma 60.00
loop_
_space_group_symop_operation_xyz
'x,y,z'
loop_
_atom_site_label
_atom_site_fract_x
_atom_site_fract_y
_atom_site_fract_z
Ge1 0.250 0.250 0.250
Pm1 0.500 0.500 0.500
Zn1 0.750 0.750 0.750
Er1 0.000 0.000 0.000

Entry 3:
# Pr3ErGe4, relaxed, DFT PBE
# * E_form: -0.682 eV per atom
# * energy: -5.35 eV per atom
data_Pr3ErGe4
_chemical_formula_sum 'Pr3 Er1 Ge4'
_space_group_name_H-M_alt 'P 1'
_space_group_IT_number 1
_cell_length_a 4.261
_cell_length_b 6.417
_cell_length_c 8.983
_cell_angle_alpha 110.94
_cell_angle_beta 103.72
_cell_angle_gamma 90.00
loop_
_space_group_symop_operation_xyz
'x,y,z'
loop_
_atom_site_label
_atom_site_fract_x
_atom_site_fract_y
_atom_site_fract_z
Pr1 0.000 0.500 0.000
Pr2 0.195 0.195 0.390
Pr3 0.805 0.805 0.610
Er1 0.500 0.000 0.000
Ge1 0.371 0.565 0.742
Ge2 0.629 0.435 0.258
Ge3 0.629 0.822 0.258
Ge4 0.371 0.178 0.742